## 1
First-principles (PBE) data for NaGa2Os after structural relaxation, as listed in Alexandria.

Cell and atoms, written as POSCAR:
```
NaGa2Os
1.0
0.000 3.156 3.156
3.156 0.000 3.156
3.156 3.156 0.000
Na Os Ga
1 1 2
Direct
0.000 0.000 0.000
0.500 0.500 0.500
0.250 0.250 0.250
0.750 0.750 0.750
```

Properties
Space-group type = No. 225

## 2
First-principles (PBE) data for NaGa2Os after structural relaxation, as listed in Alexandria.

Cell and atoms, written as POSCAR:
```
NaGa2Os
1.0
-1.837 1.896 -1.678
-2.110 0.001 2.310
3.225 5.731 2.945
Na Os Ga
1 1 2
Direct
0.500 0.500 0.500
0.500 0.500 0.000
0.000 0.000 0.802
0.000 0.000 0.198
```

Properties
Space-group type = No. 123

Result of the stability comparison: 1 is the least stable of them.

## 1
First-principles (PBE) data for Na2GaSiOs after structural relaxation, as listed in Alexandria.

Cell and atoms, written as POSCAR:
```
Na2GaSiOs
1.0
5.374 0.000 0.000
0.000 4.750 0.000
0.000 0.000 5.374
Na Si Os Ga
2 1 1 1
Direct
0.000 0.000 0.500
0.500 0.000 0.000
0.500 0.500 0.500
0.000 0.000 0.000
0.000 0.500 0.000
```

Properties
Space-group type = No. 123

## 2
First-principles (PBE) data for Na2GaSiOs after structural relaxation, as listed in Alexandria.

Cell and atoms, written as POSCAR:
```
Na2GaSiOs
1.0
-4.770 -1.058 1.205
1.231 -4.423 0.990
0.912 1.321 4.769
Na Si Os Ga
2 1 1 1
Direct
0.000 0.000 0.500
0.500 0.000 0.000
0.500 0.500 0.500
0.000 0.500 0.000
0.000 0.000 0.000
```

Properties
Space-group type = No. 123

Result of the stability comparison: 1 is the least stable of them.